No. 1
Entry from Alexandria via LeMat-Bulk: a PBEsol-optimized structure of TaCu2GeAs (SCAN).

POSCAR file:
```
TaCu2GeAs
1.0
4.2703 0.0000 0.0000
0.0000 4.2703 0.0000
0.0000 0.0000 4.9501
Ta Cu Ge As
1 2 1 1
Cartesian
0.0000 0.0000 0.0000 Ta
0.0000 2.1352 2.4750 Cu
2.1352 0.0000 2.4750 Cu
0.0000 0.0000 2.4750 Ge
2.1352 2.1352 0.0000 As
```

---

No. 2
FeRu2Se SCAN PBEsol geometry; formation energy without anion corrections = 269 meV per atom
1.0
4.0939 -1.4183 0.0000
4.0939 1.4183 0.0000
-0.8139 0.0000 4.6480
Fe Ru Se
1 2 1
Cartesian
0.0000 0.0000 0.0000 Fe
1.4738 0.0000 3.5344 Ru
5.9000 0.0000 1.1137 Ru
3.6869 0.0000 2.3240 Se

---

No. 3
MgZr2Si SCAN PBEsol geometry; formation energy without anion corrections = -90 meV per atom
1.0
5.1666 -1.5029 0.0000
5.1666 1.5029 0.0000
-1.3116 0.0000 5.1459
Mg Zr Si
1 2 1
Cartesian
0.0000 0.0000 0.0000 Mg
1.3833 0.0000 3.7425 Zr
7.6383 0.0000 1.4033 Zr
4.5108 0.0000 2.5729 Si

---

No. 4
CrTeRh2 SCAN PBEsol geometry; formation energy without anion corrections = -166 meV per atom
1.0
-1.9809 1.9809 3.8043
1.9809 -1.9809 3.8043
1.9809 1.9809 -3.8043
Cr Te Rh
1 1 2
Cartesian
0.0000 0.0000 0.0000 Cr
0.0000 0.0000 3.8043 Te
1.9809 0.0000 1.9021 Rh
0.0000 1.9809 1.9021 Rh

---

No. 5
Entry from Alexandria via LeMat-Bulk: a PBEsol-optimized structure of Mg2ScRh (SCAN).

POSCAR file:
```
Mg2ScRh
1.0
0.0000 3.2874 3.2874
3.2874 0.0000 3.2874
3.2874 3.2874 0.0000
Mg Sc Rh
2 1 1
Cartesian
0.0000 0.0000 0.0000 Mg
1.6437 1.6437 1.6437 Mg
3.2874 3.2874 3.2874 Sc
4.9310 4.9310 4.9310 Rh
```

---

No. 6
Entry from Alexandria via LeMat-Bulk: a PBEsol-optimized structure of Sc2MnP (SCAN).

POSCAR file:
```
Sc2MnP
1.0
-1.7182 2.0049 4.7464
1.7182 -2.0049 4.7464
1.7182 2.0049 -4.7464
Sc Mn P
2 1 1
Cartesian
0.0000 0.0000 0.0000 Sc
0.0000 2.0049 2.2139 Sc
1.7182 0.0000 2.6168 Mn
0.0000 0.0000 4.2553 P
```

---

| no. | electronic total energy (eV/atom) | Fermi-level density of states (states/eV per atom) | calculated volume (A^3/atom) |
| --- | --- | --- | --- |
| 1 | -26.477 | 0.61 | 18.05 |
| 2 | -26.696 | 0.87 | 13.49 |
| 3 | -19.186 | 0.57 | 19.98 |
| 4 | -30.960 | 1.20 | 14.93 |
| 5 | -14.939 | 0.88 | 17.76 |
| 6 | -14.906 | 0.92 | 16.35 |